Record 1
# BaCuPb PBE relaxed
# D(E_F) (states/eV/cell): 19.43
# Raw total energy (eV/atom): -3.3312
data_BaCuPb
_space_group_name_H-M_alt 'F -4 3 m'
_space_group_IT_number 216
_space_group_name_Hall 'F -4 2 3'
_cell_length_a 7.286
_cell_length_b 7.286
_cell_length_c 7.286
_cell_angle_alpha 90.00
_cell_angle_beta 90.00
_cell_angle_gamma 90.00
loop_
_atom_site_label
_atom_site_fract_x
_atom_site_fract_y
_atom_site_fract_z
_atom_site_occupancy
Ba1 0.000 0.000 0.000 1
Cu1 0.250 0.250 0.750 1
Pb1 0.000 0.000 0.500 1

Record 2
# BaCu2Pb PBE relaxed
# D(E_F) (states/eV/cell): 5.14
# Raw total energy (eV/atom): -3.5473
data_BaCu2Pb
_space_group_name_H-M_alt 'C 1 m 1'
_space_group_IT_number 8
_cell_length_a 7.803
_cell_length_b 4.502
_cell_length_c 6.593
_cell_angle_alpha 90.00
_cell_angle_beta 113.37
_cell_angle_gamma 90.00
loop_
_space_group_symop_operation_xyz
'x,y,z'
'x,-y,z'
'x+1/2,y+1/2,z'
'x+1/2,-y+1/2,z'
loop_
_atom_site_label
_atom_site_fract_x
_atom_site_fract_y
_atom_site_fract_z
_atom_site_occupancy
Ba1 0.000 0.000 0.000 1
Cu1 0.030 0.500 0.589 1
Cu2 0.199 0.000 0.596 1
Pb1 0.306 0.500 0.417 1

Record 3
# BaCu2Pb PBE relaxed
# D(E_F) (states/eV/cell): 3.29
# Raw total energy (eV/atom): -3.3020
data_BaCu2Pb
_space_group_name_H-M_alt 'P m m m'
_space_group_IT_number 47
_cell_length_a 3.787
_cell_length_b 3.800
_cell_length_c 7.122
_cell_angle_alpha 90.00
_cell_angle_beta 90.00
_cell_angle_gamma 90.00
loop_
_space_group_symop_operation_xyz
'x,y,z'
'-x,-y,-z'
'-x,-y,z'
'x,y,-z'
'x,-y,-z'
'-x,y,z'
'-x,y,-z'
'x,-y,z'
loop_
_atom_site_label
_atom_site_fract_x
_atom_site_fract_y
_atom_site_fract_z
_atom_site_occupancy
Ba1 0.000 0.000 0.000 1
Cu1 0.500 0.500 0.316 1
Pb1 0.000 0.000 0.500 1

Record 4
# BaCu2Pb PBE relaxed
# D(E_F) (states/eV/cell): 4.98
# Raw total energy (eV/atom): -3.2669
data_BaCu2Pb
_space_group_name_H-M_alt 'C m m m'
_space_group_IT_number 65
_space_group_name_Hall '-C 2 2'
_cell_length_a 7.216
_cell_length_b 7.227
_cell_length_c 3.919
_cell_angle_alpha 90.00
_cell_angle_beta 90.00
_cell_angle_gamma 90.00
loop_
_atom_site_label
_atom_site_fract_x
_atom_site_fract_y
_atom_site_fract_z
_atom_site_occupancy
Ba1 0.000 0.000 0.000 1
Cu1 0.250 0.250 0.500 1
Pb1 0.000 0.500 0.000 1

Record 5
# Ba3CuPb PBE relaxed
# D(E_F) (states/eV/cell): 5.49
# Relative energy among the computed polymorphs (meV per atom): 0
data_Ba3CuPb
_space_group_name_H-M_alt 'P m -3 m'
_space_group_IT_number 221
_space_group_name_Hall '-P 4 2 3'
_cell_length_a 6.079
_cell_length_b 6.079
_cell_length_c 6.079
_cell_angle_alpha 90.00
_cell_angle_beta 90.00
_cell_angle_gamma 90.00
loop_
_atom_site_label
_atom_site_fract_x
_atom_site_fract_y
_atom_site_fract_z
_atom_site_occupancy
Ba1 0.000 0.000 0.500 1
Cu1 0.000 0.000 0.000 1
Pb1 0.500 0.500 0.500 1

Record 6
# BaCu2Pb PBE relaxed
# D(E_F) (states/eV/cell): 1.63
# Raw total energy (eV/atom): -3.5486
data_BaCu2Pb
_space_group_name_H-M_alt 'C 1 2/m 1'
_space_group_IT_number 12
_cell_length_a 8.070
_cell_length_b 4.670
_cell_length_c 6.262
_cell_angle_alpha 90.00
_cell_angle_beta 115.24
_cell_angle_gamma 90.00
loop_
_space_group_symop_operation_xyz
'x,y,z'
'-x,-y,-z'
'-x,y,-z'
'x,-y,z'
'x+1/2,y+1/2,z'
'-x+1/2,-y+1/2,-z'
'-x+1/2,y+1/2,-z'
'x+1/2,-y+1/2,z'
loop_
_atom_site_label
_atom_site_fract_x
_atom_site_fract_y
_atom_site_fract_z
_atom_site_occupancy
Ba1 0.000 0.000 0.000 1
Cu1 0.192 0.000 0.579 1
Pb1 0.000 0.500 0.500 1

Record 7
# BaCuPb PBE relaxed
# D(E_F) (states/eV/cell): 5.53
# Raw total energy (eV/atom): -3.2718
data_BaCuPb
_space_group_name_H-M_alt 'I 4 m m'
_space_group_IT_number 107
_space_group_name_Hall 'I 4 -2'
_cell_length_a 3.781
_cell_length_b 3.781
_cell_length_c 12.452
_cell_angle_alpha 90.00
_cell_angle_beta 90.00
_cell_angle_gamma 90.00
loop_
_atom_site_label
_atom_site_fract_x
_atom_site_fract_y
_atom_site_fract_z
_atom_site_occupancy
Ba1 0.000 0.000 0.000 1
Cu1 0.000 0.000 0.685 1
Pb1 0.000 0.000 0.282 1

Record 8
# BaCu3Pb PBE relaxed
# D(E_F) (states/eV/cell): 2.28
# Relative energy among the computed polymorphs (meV per atom): 910
data_BaCu3Pb
_space_group_name_H-M_alt 'P m -3 m'
_space_group_IT_number 221
_space_group_name_Hall '-P 4 2 3'
_cell_length_a 5.505
_cell_length_b 5.505
_cell_length_c 5.505
_cell_angle_alpha 90.00
_cell_angle_beta 90.00
_cell_angle_gamma 90.00
loop_
_atom_site_label
_atom_site_fract_x
_atom_site_fract_y
_atom_site_fract_z
_atom_site_occupancy
Ba1 0.000 0.000 0.000 1
Cu1 0.000 0.000 0.500 1
Pb1 0.500 0.500 0.500 1

Record 9
# BaCuPb PBE relaxed
# D(E_F) (states/eV/cell): 7.83
# Raw total energy (eV/atom): -3.4992
data_BaCuPb
_space_group_name_H-M_alt 'P 1 21/c 1'
_space_group_IT_number 14
_cell_length_a 7.097
_cell_length_b 7.233
_cell_length_c 8.592
_cell_angle_alpha 90.00
_cell_angle_beta 122.21
_cell_angle_gamma 90.00
loop_
_space_group_symop_operation_xyz
'x,y,z'
'-x,-y,-z'
'-x,y+1/2,-z+1/2'
'x,-y+1/2,z+1/2'
loop_
_atom_site_label
_atom_site_fract_x
_atom_site_fract_y
_atom_site_fract_z
_atom_site_occupancy
Ba1 0.202 0.145 0.403 1
Cu1 0.398 0.575 0.337 1
Pb1 0.259 0.658 0.575 1

Record 10
# BaCuPb PBE relaxed
# D(E_F) (states/eV/cell): 15.19
# Raw total energy (eV/atom): -2.7489
data_BaCuPb
_space_group_name_H-M_alt 'F -4 3 m'
_space_group_IT_number 216
_space_group_name_Hall 'F -4 2 3'
_cell_length_a 7.714
_cell_length_b 7.714
_cell_length_c 7.714
_cell_angle_alpha 90.00
_cell_angle_beta 90.00
_cell_angle_gamma 90.00
loop_
_atom_site_label
_atom_site_fract_x
_atom_site_fract_y
_atom_site_fract_z
_atom_site_occupancy
Ba1 0.000 0.000 0.000 1
Cu1 0.250 0.250 0.250 1
Pb1 0.250 0.250 0.750 1

Record 11
# BaCuPb PBE relaxed
# D(E_F) (states/eV/cell): 2.85
# Raw total energy (eV/atom): -3.4864
data_BaCuPb
_space_group_name_H-M_alt 'P -6 m 2'
_space_group_IT_number 187
_space_group_name_Hall 'P -6 2'
_cell_length_a 4.7931
_cell_length_b 4.7931
_cell_length_c 4.7905
_cell_angle_alpha 90.00
_cell_angle_beta 90.00
_cell_angle_gamma 120.00
loop_
_atom_site_label
_atom_site_fract_x
_atom_site_fract_y
_atom_site_fract_z
_atom_site_occupancy
Ba1 0.0000 0.0000 0.0000 1
Cu1 0.6667 0.3333 0.5000 1
Pb1 0.3333 0.6667 0.5000 1

Record 12
# Ba2CuPd6Pb PBE relaxed
# D(E_F) (states/eV/cell): 4.97
# Raw total energy (eV/atom): -4.6606
data_Ba2CuPd6Pb
_space_group_name_H-M_alt 'P -1'
_space_group_IT_number 2
_cell_length_a 6.748
_cell_length_b 6.781
_cell_length_c 6.783
_cell_angle_alpha 62.21
_cell_angle_beta 62.25
_cell_angle_gamma 62.38
loop_
_space_group_symop_operation_xyz
'x,y,z'
'-x,-y,-z'
loop_
_atom_site_label
_atom_site_fract_x
_atom_site_fract_y
_atom_site_fract_z
_atom_site_occupancy
Ba1 0.193 0.193 0.193 1
Cu1 0.000 0.000 0.000 1
Pd1 0.160 0.623 0.312 1
Pd2 0.314 0.159 0.623 1
Pd3 0.375 0.686 0.840 1
Pb1 0.500 0.500 0.500 1

Record 13
# BaCuPbS2 PBE relaxed
# Formation energy (no corrections) (eV per atom): -0.8221
# D(E_F) (states/eV/cell): 3.51
data_BaCuPbS2
_space_group_name_H-M_alt 'P 1 2/c 1'
_space_group_IT_number 13
_cell_length_a 7.058
_cell_length_b 4.506
_cell_length_c 8.870
_cell_angle_alpha 90.00
_cell_angle_beta 100.91
_cell_angle_gamma 90.00
loop_
_space_group_symop_operation_xyz
'x,y,z'
'-x,-y,-z'
'-x,y,-z+1/2'
'x,-y,z+1/2'
loop_
_atom_site_label
_atom_site_fract_x
_atom_site_fract_y
_atom_site_fract_z
_atom_site_occupancy
Ba1 0.000 0.205 0.250 1
Cu1 0.500 0.000 0.000 1
Pb1 0.500 0.445 0.750 1
S1 0.239 0.280 0.966 1

Record 14
# BaCuPb2S4 PBE relaxed
# Formation energy (no corrections) (eV per atom): -0.7953
# D(E_F) (states/eV/cell): 21.38
data_BaCuPb2S4
_space_group_name_H-M_alt 'C m c m'
_space_group_IT_number 63
_space_group_name_Hall '-C 2c 2'
_cell_length_a 4.172
_cell_length_b 13.770
_cell_length_c 14.282
_cell_angle_alpha 90.00
_cell_angle_beta 90.00
_cell_angle_gamma 90.00
loop_
_atom_site_label
_atom_site_fract_x
_atom_site_fract_y
_atom_site_fract_z
_atom_site_occupancy
Ba1 0.000 0.103 0.250 1
Cu1 0.000 0.161 0.750 1
Pb1 0.000 0.365 0.052 1
S1 0.000 0.000 0.000 1
S2 0.000 0.273 0.627 1
S3 0.000 0.421 0.250 1

Record 15
# BaCuSbPb PBE relaxed
# Formation energy (no corrections) (eV per atom): -0.3880
# D(E_F) (states/eV/cell): 7.12
data_BaCuSbPb
_space_group_name_H-M_alt 'P 4/n m m'
_space_group_IT_number 129
_cell_length_a 4.587
_cell_length_b 4.587
_cell_length_c 11.888
_cell_angle_alpha 90.00
_cell_angle_beta 90.00
_cell_angle_gamma 90.00
loop_
_space_group_symop_operation_xyz
'x,y,z'
'-x,-y,-z'
'-y+1/2,x,z'
'y+1/2,-x,-z'
'-x+1/2,-y+1/2,z'
'x+1/2,y+1/2,-z'
'y,-x+1/2,z'
'-y,x+1/2,-z'
'x+1/2,-y,-z'
'-x+1/2,y,z'
'-y,-x,-z'
'y,x,z'
'-x,y+1/2,-z'
'x,-y+1/2,z'
'y+1/2,x+1/2,-z'
'-y+1/2,-x+1/2,z'
loop_
_atom_site_label
_atom_site_fract_x
_atom_site_fract_y
_atom_site_fract_z
_atom_site_occupancy
Ba1 0.250 0.250 0.227 1
Cu1 0.250 0.750 0.000 1
Sb1 0.250 0.250 0.885 1
Pb1 0.250 0.750 0.500 1

Record 16
# Ba2Cu4Sb3Pb PBE relaxed
# Formation energy (no corrections) (eV per atom): -0.4271
# D(E_F) (states/eV/cell): 2.31
data_Ba2Cu4Sb3Pb
_space_group_name_H-M_alt 'P -4 m 2'
_space_group_IT_number 115
_cell_length_a 4.714
_cell_length_b 4.714
_cell_length_c 11.044
_cell_angle_alpha 90.00
_cell_angle_beta 90.00
_cell_angle_gamma 90.00
loop_
_space_group_symop_operation_xyz
'x,y,z'
'y,-x,-z'
'-x,-y,z'
'-y,x,-z'
'-x,y,z'
'-y,-x,-z'
'x,-y,z'
'y,x,-z'
loop_
_atom_site_label
_atom_site_fract_x
_atom_site_fract_y
_atom_site_fract_z
_atom_site_occupancy
Ba1 0.000 0.500 0.234 1
Cu1 0.000 0.000 0.000 1
Cu2 0.000 0.500 0.638 1
Cu3 0.500 0.500 0.000 1
Sb1 0.000 0.500 0.877 1
Sb2 0.500 0.500 0.500 1
Pb1 0.000 0.000 0.500 1

Record 17
# Ba2CuSbPb PBE relaxed
# Formation energy (no corrections) (eV per atom): -0.2243
# D(E_F) (states/eV/cell): 6.32
data_Ba2CuSbPb
_space_group_name_H-M_alt 'P 4/m m m'
_space_group_IT_number 123
_space_group_name_Hall '-P 4 2'
_cell_length_a 6.715
_cell_length_b 6.715
_cell_length_c 4.757
_cell_angle_alpha 90.00
_cell_angle_beta 90.00
_cell_angle_gamma 90.00
loop_
_atom_site_label
_atom_site_fract_x
_atom_site_fract_y
_atom_site_fract_z
_atom_site_occupancy
Ba1 0.000 0.500 0.000 1
Cu1 0.000 0.000 0.500 1
Sb1 0.000 0.000 0.000 1
Pb1 0.500 0.500 0.500 1

Record 18
# BaCuPb2Se4 PBE relaxed
# Formation energy (no corrections) (eV per atom): -0.7800
# D(E_F) (states/eV/cell): 23.03
data_BaCuPb2Se4
_space_group_name_H-M_alt 'C m c m'
_space_group_IT_number 63
_space_group_name_Hall '-C 2c 2'
_cell_length_a 4.344
_cell_length_b 14.360
_cell_length_c 14.800
_cell_angle_alpha 90.00
_cell_angle_beta 90.00
_cell_angle_gamma 90.00
loop_
_atom_site_label
_atom_site_fract_x
_atom_site_fract_y
_atom_site_fract_z
_atom_site_occupancy
Ba1 0.000 0.104 0.250 1
Cu1 0.000 0.158 0.750 1
Pb1 0.000 0.365 0.052 1
Se1 0.000 0.000 0.000 1
Se2 0.000 0.273 0.627 1
Se3 0.000 0.425 0.250 1

Record 19
# BaTiCuPb2 PBE relaxed
# D(E_F) (states/eV/cell): 3.99
# Raw total energy (eV/atom): -4.2285
data_BaTiCuPb2
_space_group_name_H-M_alt 'P 4/m m m'
_space_group_IT_number 123
_space_group_name_Hall '-P 4 2'
_cell_length_a 5.407
_cell_length_b 5.407
_cell_length_c 5.188
_cell_angle_alpha 90.00
_cell_angle_beta 90.00
_cell_angle_gamma 90.00
loop_
_atom_site_label
_atom_site_fract_x
_atom_site_fract_y
_atom_site_fract_z
_atom_site_occupancy
Ba1 0.000 0.000 0.000 1
Ti1 0.500 0.500 0.500 1
Cu1 0.500 0.500 0.000 1
Pb1 0.000 0.500 0.500 1

Record 20
# BaTlCuPb2 PBE relaxed
# D(E_F) (states/eV/cell): 3.25
# Raw total energy (eV/atom): -3.2523
data_BaTlCuPb2
_space_group_name_H-M_alt 'P 4/m m m'
_space_group_IT_number 123
_space_group_name_Hall '-P 4 2'
_cell_length_a 5.496
_cell_length_b 5.496
_cell_length_c 5.267
_cell_angle_alpha 90.00
_cell_angle_beta 90.00
_cell_angle_gamma 90.00
loop_
_atom_site_label
_atom_site_fract_x
_atom_site_fract_y
_atom_site_fract_z
_atom_site_occupancy
Ba1 0.000 0.000 0.000 1
Tl1 0.500 0.500 0.000 1
Cu1 0.500 0.500 0.500 1
Pb1 0.000 0.500 0.500 1